1.
Compound: SmGaCo
Source: Alexandria
Functional: PBE
Structure: optimized geometry

Cell lengths 7.242, 4.506, 6.809 Å; angles 90.00, 90.00, 90.00 degrees
Fractional coordinates of all 12 atoms:
Sm: 0.032 0.250 0.191
Sm: 0.468 0.750 0.691
Sm: 0.532 0.250 0.309
Sm: 0.968 0.750 0.809
Ga: 0.191 0.250 0.613
Ga: 0.309 0.750 0.113
Ga: 0.691 0.250 0.887
Ga: 0.809 0.750 0.387
Co: 0.147 0.750 0.437
Co: 0.353 0.250 0.937
Co: 0.647 0.750 0.063
Co: 0.853 0.250 0.563

Results
Space-group type: Pnma (62)
Uncorrected energy, eV/atom: -5.40

=====

2.
Compound: LiB2Sb2
Source: Alexandria
Functional: PBE
Structure: optimized geometry

Cell lengths 7.194, 7.194, 3.515 Å; angles 90.00, 90.00, 90.00 degrees
Fractional coordinates of all 10 atoms:
Li: 0.000 0.000 0.000
Li: 0.500 0.500 0.000
B: 0.081 0.419 0.500
B: 0.419 0.919 0.500
B: 0.581 0.081 0.500
B: 0.919 0.581 0.500
Sb: 0.166 0.666 0.000
Sb: 0.334 0.166 0.000
Sb: 0.666 0.834 0.000
Sb: 0.834 0.334 0.000

Results
E_form (uncorrected), eV per atom: 0.799
Space-group type: P4/mbm (127)

=====

3.
Compound: La4SmDy2Mg
Source: Alexandria
Functional: PBE
Structure: optimized geometry

Cell lengths 5.880, 5.884, 7.850 Å; angles 90.00, 90.00, 90.00 degrees
Fractional coordinates of all 8 atoms:
La: 0.000 0.000 0.235
La: 0.000 0.000 0.765
La: 0.500 0.500 0.236
La: 0.500 0.500 0.764
Sm: 0.000 0.500 0.500
Dy: 0.000 0.500 0.000
Dy: 0.500 0.000 0.500
Mg: 0.500 0.000 0.000

Results
Space-group type: Pmmm (47)
Uncorrected energy, eV/atom: -4.36

=====

4.
Compound: SrPmY2
Source: Alexandria
Functional: PBE
Structure: optimized geometry

Cell lengths 5.268, 5.268, 5.220 Å; angles 90.00, 90.00, 90.00 degrees
Fractional coordinates of all 4 atoms:
Sr: 0.000 0.000 0.000
Pm: 0.500 0.500 0.000
Y: 0.000 0.500 0.500
Y: 0.500 0.000 0.500

Results
Space-group type: P4/mmm (123)
Uncorrected energy, eV/atom: -4.65

=====

5.
Compound: LiNd2C
Source: Alexandria
Functional: PBE
Structure: optimized geometry

Cell lengths 3.650, 3.650, 9.161 Å; angles 90.00, 90.00, 120.00 degrees
Fractional coordinates of all 4 atoms:
Li: 0.000 0.000 0.000
Nd: 0.333 0.667 0.656
Nd: 0.667 0.333 0.344
C: 0.000 0.000 0.500

Results
Space-group type: P-3m1 (164)
Uncorrected energy, eV/atom: -5.21

=====

6.
Compound: MgPb2N
Source: Alexandria
Functional: PBE
Structure: optimized geometry

Cell lengths 6.279, 6.279, 6.279 Å; angles 103.74, 103.74, 121.66 degrees
Fractional coordinates of all 8 atoms:
Mg: 0.000 0.000 0.000
Mg: 0.750 0.250 0.500
Pb: 0.210 0.625 0.085
Pb: 0.375 0.460 0.585
Pb: 0.540 0.125 0.915
Pb: 0.875 0.790 0.415
N: 0.250 0.750 0.500
N: 0.500 0.500 0.000

Results
E_form (uncorrected), eV per atom: 0.511
Space-group type: I-42d (122)

=====

7.
Compound: LiGaC
Source: Alexandria
Functional: PBE
Structure: optimized geometry

Cell lengths 6.478, 6.404, 5.559 Å; angles 65.12, 63.75, 51.13 degrees
Fractional coordinates of all 12 atoms:
Li: 0.002 0.002 0.248
Li: 0.248 0.248 0.002
Li: 0.752 0.752 0.998
Li: 0.998 0.998 0.752
Ga: 0.000 0.500 0.500
Ga: 0.500 0.000 0.500
Ga: 0.500 0.500 0.000
Ga: 0.500 0.500 0.500
C: 0.123 0.627 0.627
C: 0.373 0.877 0.877
C: 0.627 0.123 0.123
C: 0.877 0.373 0.373

Results
Space-group type: Fddd (70)
Uncorrected energy, eV/atom: -4.26

=====

8.
Compound: La5Pr2Er4
Source: Alexandria
Functional: PBE
Structure: optimized geometry

Cell lengths 12.151, 12.151, 8.945 Å; angles 104.41, 104.41, 17.29 degrees
Fractional coordinates of all 11 atoms:
La: 0.000 0.000 0.000
La: 0.273 0.273 0.189
La: 0.363 0.363 0.904
La: 0.637 0.637 0.096
La: 0.727 0.727 0.811
Pr: 0.089 0.089 0.721
Pr: 0.911 0.911 0.279
Er: 0.181 0.181 0.454
Er: 0.453 0.453 0.633
Er: 0.547 0.547 0.367
Er: 0.819 0.819 0.546

Results
Space-group type: C2/m (12)
Uncorrected energy, eV/atom: -4.74

=====

9.
Compound: Ca2Pt2Pb
Source: Alexandria
Functional: PBE
Structure: optimized geometry

Cell lengths 9.479, 9.479, 9.479 Å; angles 157.09, 157.09, 32.62 degrees
Fractional coordinates of all 5 atoms:
Ca: 0.123 0.123 0.000
Ca: 0.877 0.877 0.000
Pt: 0.250 0.750 0.500
Pt: 0.750 0.250 0.500
Pb: 0.500 0.500 0.000

Results
Space-group type: I4/mmm (139)
Uncorrected energy, eV/atom: -4.54

=====

10.
Compound: Co4NiRh2
Source: Alexandria
Functional: PBE
Structure: optimized geometry

Cell lengths 5.103, 5.103, 5.103 Å; angles 120.73, 120.73, 88.74 degrees
Fractional coordinates of all 7 atoms:
Co: 0.000 0.000 0.500
Co: 0.000 0.500 0.000
Co: 0.500 0.000 0.000
Co: 0.500 0.500 0.500
Ni: 0.000 0.000 0.000
Rh: 0.000 0.500 0.500
Rh: 0.500 0.000 0.500

Results
Space-group type: I4/mmm (139)
Uncorrected energy, eV/atom: -6.69

=====

11.
Compound: Ho2Si4Ni3
Source: Alexandria
Functional: PBE
Structure: optimized geometry

Cell lengths 7.593, 7.593, 7.063 Å; angles 90.00, 90.00, 138.77 degrees
Fractional coordinates of all 18 atoms:
Ho: 0.107 0.893 0.902
Ho: 0.393 0.607 0.402
Ho: 0.607 0.393 0.598
Ho: 0.893 0.107 0.098
Si: 0.182 0.818 0.516
Si: 0.186 0.314 0.750
Si: 0.314 0.186 0.250
Si: 0.318 0.682 0.016
Si: 0.682 0.318 0.984
Si: 0.686 0.814 0.750
Si: 0.814 0.686 0.250
Si: 0.818 0.182 0.484
Ni: 0.000 0.000 0.500
Ni: 0.021 0.479 0.750
Ni: 0.479 0.021 0.250
Ni: 0.500 0.500 0.000
Ni: 0.521 0.979 0.750
Ni: 0.979 0.521 0.250

Results
E_form (uncorrected), eV per atom: -0.726
Space-group type: Cmce (64)

=====

12.
Compound: SrLi6Ca5
Source: Alexandria
Functional: PBE
Structure: optimized geometry

Cell lengths 9.822, 9.822, 9.822 Å; angles 146.62, 131.32, 60.31 degrees
Fractional coordinates of all 12 atoms:
Sr: 0.000 0.000 0.000
Li: 0.085 0.830 0.255
Li: 0.260 0.500 0.760
Li: 0.425 0.170 0.255
Li: 0.575 0.830 0.745
Li: 0.740 0.500 0.240
Li: 0.915 0.170 0.745
Ca: 0.167 0.667 0.500
Ca: 0.334 0.334 0.000
Ca: 0.500 0.000 0.500
Ca: 0.666 0.666 0.000
Ca: 0.833 0.333 0.500

Results
Space-group type: Immm (71)
Uncorrected energy, eV/atom: -1.91

=====

13.
Compound: Er5Co2Sb
Source: Alexandria
Functional: PBE
Structure: optimized geometry

Cell lengths 8.497, 8.497, 8.497 Å; angles 127.28, 127.28, 77.79 degrees
Fractional coordinates of all 16 atoms:
Er: 0.000 0.000 0.000
Er: 0.025 0.525 0.815
Er: 0.209 0.025 0.500
Er: 0.291 0.791 0.815
Er: 0.475 0.291 0.500
Er: 0.500 0.500 0.000
Er: 0.525 0.709 0.500
Er: 0.709 0.209 0.185
Er: 0.791 0.975 0.500
Er: 0.975 0.475 0.185
Co: 0.135 0.365 0.500
Co: 0.365 0.865 0.230
Co: 0.635 0.135 0.770
Co: 0.865 0.635 0.500
Sb: 0.250 0.250 0.000
Sb: 0.750 0.750 0.000

Results
E_form (uncorrected), eV per atom: -0.446
Space-group type: I4/mcm (140)

=====

14.
Compound: Re2AgSe
Source: Alexandria
Functional: PBE
Structure: optimized geometry

Cell lengths 5.697, 5.697, 5.697 Å; angles 150.62, 130.98, 58.18 degrees
Fractional coordinates of all 4 atoms:
Re: 0.000 0.000 0.000
Re: 0.791 0.291 0.500
Ag: 0.511 0.511 0.000
Se: 0.223 0.723 0.500

Results
E_form (uncorrected), eV per atom: 0.765
Space-group type: Imm2 (44)

=====

15.
Compound: Tb2MgRuC
Source: Alexandria
Functional: PBE
Structure: optimized geometry

Cell lengths 5.056, 5.056, 3.945 Å; angles 90.00, 90.00, 90.00 degrees
Fractional coordinates of all 5 atoms:
Tb: 0.000 0.500 0.000
Tb: 0.500 0.000 0.000
Mg: 0.000 0.000 0.500
Ru: 0.500 0.500 0.500
C: 0.500 0.500 0.000

Results
Space-group type: P4/mmm (123)
Uncorrected energy, eV/atom: -6.17

=====

16.
Compound: PrNdHo2
Source: Alexandria
Functional: PBE
Structure: optimized geometry

Cell lengths 3.624, 3.624, 10.134 Å; angles 90.00, 90.00, 90.00 degrees
Fractional coordinates of all 4 atoms:
Pr: 0.000 0.000 0.000
Nd: 0.000 0.000 0.500
Ho: 0.500 0.500 0.251
Ho: 0.500 0.500 0.749

Results
Space-group type: P4/mmm (123)
Uncorrected energy, eV/atom: -4.65

=====

17.
Compound: CaAcCuIr
Source: Alexandria
Functional: PBE
Structure: optimized geometry

Cell lengths 4.269, 6.005, 6.005 Å; angles 40.82, 90.00, 90.00 degrees
Fractional coordinates of all 4 atoms:
Ca: 0.000 0.000 0.000
Ac: 0.500 0.278 0.278
Cu: 0.500 0.571 0.571
Ir: 0.000 0.709 0.709

Results
Space-group type: Amm2 (38)
Uncorrected energy, eV/atom: -5.16

=====

18.
Compound: Te2PdC
Source: Alexandria
Functional: PBE
Structure: optimized geometry

Cell lengths 6.771, 6.771, 6.771 Å; angles 129.58, 129.58, 74.09 degrees
Fractional coordinates of all 8 atoms:
Te: 0.079 0.625 0.954
Te: 0.375 0.329 0.454
Te: 0.671 0.125 0.046
Te: 0.875 0.921 0.546
Pd: 0.250 0.750 0.500
Pd: 0.500 0.500 0.000
C: 0.000 0.000 0.000
C: 0.750 0.250 0.500

Results
E_form (uncorrected), eV per atom: 0.694
Space-group type: I-42d (122)

=====

19.
Compound: CaPr6SmDy2
Source: Alexandria
Functional: PBE
Structure: optimized geometry

Cell lengths 9.086, 9.086, 9.973 Å; angles 94.32, 94.32, 118.34 degrees
Fractional coordinates of all 20 atoms:
Ca: 0.098 0.902 0.750
Ca: 0.902 0.098 0.250
Pr: 0.003 0.791 0.378
Pr: 0.067 0.525 0.177
Pr: 0.209 0.997 0.122
Pr: 0.263 0.612 0.553
Pr: 0.388 0.737 0.947
Pr: 0.475 0.933 0.323
Pr: 0.525 0.067 0.677
Pr: 0.612 0.263 0.053
Pr: 0.737 0.388 0.447
Pr: 0.791 0.003 0.878
Pr: 0.933 0.475 0.823
Pr: 0.997 0.209 0.622
Sm: 0.473 0.527 0.250
Sm: 0.527 0.473 0.750
Dy: 0.203 0.302 0.955
Dy: 0.302 0.203 0.455
Dy: 0.698 0.797 0.545
Dy: 0.797 0.698 0.045

Results
Space-group type: C2/c (15)
Uncorrected energy, eV/atom: -4.33

=====

20.
Compound: Nd8P3Se3O
Source: Alexandria
Functional: PBE
Structure: optimized geometry

Cell lengths 8.369, 8.369, 8.369 Å; angles 58.48, 58.48, 58.48 degrees
Fractional coordinates of all 15 atoms:
Nd: 0.243 0.243 0.243
Nd: 0.261 0.728 0.728
Nd: 0.272 0.272 0.739
Nd: 0.272 0.739 0.272
Nd: 0.728 0.261 0.728
Nd: 0.728 0.728 0.261
Nd: 0.739 0.272 0.272
Nd: 0.757 0.757 0.757
P: 0.000 0.000 0.500
P: 0.000 0.500 0.000
P: 0.500 0.000 0.000
Se: 0.000 0.500 0.500
Se: 0.500 0.000 0.500
Se: 0.500 0.500 0.000
O: 0.500 0.500 0.500

Results
E_form (uncorrected), eV per atom: -1.688
Space-group type: R-3m (166)